[1]
## CeHo2Hg (PBE)

Data for an optimized crystal structure of CeHo2Hg.

Its distance to the lowest polymorph of the same formula is 0 kJ/mol of formula units. The calculation puts the density of states at the Fermi level at 1.7854 states/eV per atom. For the formation energy, the calculation gives -195 meV/atom.

Lattice parameters (Å, degrees): 3.577 3.577 8.648 90.00 90.00 90.00
Sites, in units of the cell vectors:
Hg  0.500  0.500  0.000
Ce  0.500  0.500  0.500
Ho  0.000  0.000  0.772
Ho  0.000  0.000  0.228

[2]
## Nd3HoSb2 (PBE)

Data for an optimized crystal structure of Nd3HoSb2.

Its distance to the lowest polymorph of the same formula is 0 kJ/mol of formula units. The calculation puts the density of states at the Fermi level at 0.8585 states/eV per atom.

Lattice parameters (Å, degrees): 4.572 4.572 8.787 90.00 90.00 90.00
Sites, in units of the cell vectors:
Nd  0.500  0.000  0.354
Nd  0.000  0.500  0.646
Nd  0.000  0.000  0.000
Ho  0.500  0.500  0.000
Sb  0.500  0.000  0.724
Sb  0.000  0.500  0.276

[3]
## NdHfZrIr2 (PBE)

Data for an optimized crystal structure of NdHfZrIr2.

The calculation puts the density of states at the Fermi level at 0.8230 states/eV per atom. For the formation energy, the calculation gives -784 meV/atom.

Lattice parameters (Å, degrees): 4.520 4.520 6.379 110.75 110.75 90.00
Sites, in units of the cell vectors:
Nd  0.000  0.000  0.000
Hf  0.750  0.250  0.500
Zr  0.250  0.750  0.500
Ir  0.618  0.618  0.235
Ir  0.382  0.382  0.765

[4]
## Ce2NdGe (PBE)

Data for an optimized crystal structure of Ce2NdGe.

Its distance to the lowest polymorph of the same formula is 183 kJ/mol of formula units. The calculation puts the density of states at the Fermi level at 2.3028 states/eV per atom. For the formation energy, the calculation gives 14 meV/atom.

Lattice parameters (Å, degrees): 3.800 3.800 10.448 79.52 79.52 60.00
Sites, in units of the cell vectors:
Ge  0.500  0.500  0.500
Nd  0.000  0.000  0.000
Ce  0.106  0.106  0.683
Ce  0.894  0.894  0.317

[5]
## BaNa2Rh (PBE)

Data for an optimized crystal structure of BaNa2Rh.

Its distance to the lowest polymorph of the same formula is 0 kJ/mol of formula units. The calculation puts the density of states at the Fermi level at 0.8904 states/eV per atom. For the formation energy, the calculation gives 230 meV/atom.

Lattice parameters (Å, degrees): 4.447 4.447 12.409 79.68 79.68 90.00
Sites, in units of the cell vectors:
Na  0.580  0.125  0.250
Na  0.170  0.625  0.250
Na  0.375  0.420  0.750
Na  0.875  0.830  0.750
Rh  0.500  0.500  0.000
Rh  0.250  0.750  0.500
Ba  0.000  0.000  0.000
Ba  0.750  0.250  0.500

[6]
## Cs2K2RuO4 (PBE)

Data for an optimized crystal structure of Cs2K2RuO4.

The value obtained for the total energy is -4.69 eV per atom. The calculation puts the density of states at the Fermi level at 0.4053 states/eV per atom.

Lattice parameters (Å, degrees): 6.378 6.378 6.378 92.04 118.83 118.83
Sites, in units of the cell vectors:
Cs  0.500  0.750  0.250
Cs  0.500  0.250  0.750
K  0.000  0.653  0.653
K  0.000  0.347  0.347
Ru  0.000  0.000  0.000
O  0.000  0.790  0.210
O  0.579  0.790  0.790
O  0.000  0.210  0.790
O  0.421  0.210  0.210

[7]
## Mn3Cr (PBE)

Data for an optimized crystal structure of Mn3Cr.

The calculation puts the density of states at the Fermi level at 1.4571 states/eV per atom. For the formation energy, the calculation gives 96 meV/atom.

Lattice parameters (Å, degrees): 4.003 2.805 4.653 72.46 64.52 90.00
Sites, in units of the cell vectors:
Cr  0.000  0.000  0.000
Mn  0.241  0.741  0.518
Mn  0.500  0.500  0.000
Mn  0.759  0.259  0.482

[8]
## MgGaI2N (PBE)

Data for an optimized crystal structure of MgGaI2N.

Its distance to the lowest polymorph of the same formula is 0 kJ/mol of formula units.

Lattice parameters (Å, degrees): 5.942 5.942 4.158 90.00 90.00 90.00
Sites, in units of the cell vectors:
I  0.000  0.500  0.000
I  0.500  0.000  0.000
Mg  0.000  0.000  0.000
Ga  0.500  0.500  0.500
N  0.000  0.000  0.500